This record from Alexandria describes Rb2TiTeAs at its PBEsol-relaxed geometry. The functional is SCAN.

Cell: 4.860 6.314 6.314 Å, 90.00 90.00 90.00°
Site moments in Bohr magnetons follow the coordinates.
Fractional coordinates of all 5 atoms:
Te1 0.500 0.500 0.500  -0.18
As1 0.000 0.000 0.000  -0.18
Rb1 0.000 0.000 0.500  -0.01
Rb2 0.000 0.500 0.000  -0.01
Ti1 0.500 0.000 0.000  1.39

Calculated values
The value obtained for the formation energy without anion corrections is -117 kJ/mol of formula units. The calculation puts the volume at 194 Å³ per cell. The calculation puts the mass density at 3610 kg/m3. The value obtained for the magnetic moment is 1.0 Bohr magnetons per cell. The value obtained for the density of states at the Fermi level is 0.389 states/eV/atom. The value obtained for the total DFT energy (no corrections) is -1.7075 Ry/atom. The space-group type is P4/mmm, No. 123.

This record from Alexandria describes ZrCd2Os at its PBEsol-relaxed geometry. The functional is SCAN.

Cell: 4.682 4.682 4.682 Å, 60.00 60.00 60.00°
Fractional coordinates of all 4 atoms:
Zr1 0.250 0.250 0.250
Os1 0.500 0.500 0.500
Cd1 0.000 0.000 0.000
Cd2 0.750 0.750 0.750

Calculated values
The calculation puts the volume at 73 Å³ per cell. The calculation puts the mass density at 11586 kg/m3. The value obtained for the magnetic moment is 0.0 Bohr magnetons per cell. For the polymorph energy (0 for the lowest one), the calculation gives 150 meV/atom. The value obtained for the density of states at the Fermi level is 0.602 states/eV/atom. The energy relative to the elements is 55 meV/atom. The value obtained for the total DFT energy (no corrections) is -2.9985 Ry/atom. The space-group type is F-43m, No. 216.

This record from Alexandria describes MnSb3N at its PBEsol-relaxed geometry. The functional is SCAN.

Cell: 4.639 4.639 4.639 Å, 90.00 90.00 90.00°
Site moments in Bohr magnetons follow the coordinates.
Fractional coordinates of all 5 atoms:
Sb1 0.000 0.000 0.500  -0.07
Mn1 0.500 0.500 0.500  4.26
N1 0.000 0.000 0.000  -0.06
Sb2 0.500 0.000 0.000  -0.07
Sb3 0.000 0.500 0.000  -0.07

Calculated values
The value obtained for the formation energy without anion corrections is 305 kJ/mol of formula units. The calculation puts the volume at 100 Å³ per cell. The calculation puts the mass density at 7222 kg/m3. The value obtained for the magnetic moment is 3.9 Bohr magnetons per cell. The value obtained for the density of states at the Fermi level is 0.421 states/eV/atom. The value obtained for the total DFT energy (no corrections) is -2.0016 Ry/atom. The space-group type is Pm-3m, No. 221.

This record from Alexandria describes LaAg2Br at its PBEsol-relaxed geometry. The functional is SCAN.

Cell: 4.163 4.131 6.160 Å, 109.59 109.75 90.00°
Fractional coordinates of all 4 atoms:
La1 0.000 0.500 0.000
Ag1 0.250 0.250 0.500
Ag2 0.750 0.750 0.500
Br1 0.500 0.000 0.000

Calculated values
The value obtained for the formation energy without anion corrections is -210 kJ/mol of formula units. The calculation puts the volume at 93 Å³ per cell. The calculation puts the mass density at 7747 kg/m3. The value obtained for the magnetic moment is 0.0 Bohr magnetons per cell. For the polymorph energy (0 for the lowest one), the calculation gives 45 meV/atom. The value obtained for the density of states at the Fermi level is 0.342 states/eV/atom. The value obtained for the total DFT energy (no corrections) is -2.3424 Ry/atom. The space-group type is Immm, No. 71.

This record from Alexandria describes Sc2ReAg at its PBEsol-relaxed geometry. The functional is SCAN.

Cell: 3.974 3.974 5.274 Å, 112.13 112.13 90.00°
Fractional coordinates of all 4 atoms:
Sc1 0.750 0.250 0.500
Sc2 0.000 0.000 0.000
Ag1 0.500 0.500 0.000
Re1 0.250 0.750 0.500

Calculated values
The calculation puts the volume at 70 Å³ per cell. The calculation puts the mass density at 9048 kg/m3. The value obtained for the magnetic moment is 0.0 Bohr magnetons per cell. The value obtained for the density of states at the Fermi level is 0.414 states/eV/atom. The energy relative to the elements is 16 meV/atom. The value obtained for the total DFT energy (no corrections) is -2.4048 Ry/atom. The space-group type is I-4m2, No. 119.

This record from Alexandria describes NaZn3S at its PBEsol-relaxed geometry. The functional is SCAN.

Cell: 4.979 4.979 4.979 Å, 90.00 90.00 90.00°
Site moments in Bohr magnetons follow the coordinates.
Fractional coordinates of all 5 atoms:
Na1 0.000 0.000 0.000  0.01
Zn1 0.000 0.000 0.500  0.07
Zn2 0.500 0.000 0.000  0.07
S1 0.500 0.500 0.500  0.54
Zn3 0.000 0.500 0.000  0.07

Calculated values
The value obtained for the formation energy without anion corrections is 480 kJ/mol of formula units. The calculation puts the volume at 123 Å³ per cell. The calculation puts the mass density at 3380 kg/m3. The value obtained for the magnetic moment is 1.1 Bohr magnetons per cell. The value obtained for the density of states at the Fermi level is 0.493 states/eV/atom. The value obtained for the total DFT energy (no corrections) is -0.7263 Ry/atom. The space-group type is Pm-3m, No. 221.